The following is a DFT calculation (GGA-PBE) of crystalline Sm2ErIn3Se6 at its relaxed geometry.

Lattice parameters (Å, degrees): 7.269 7.269 8.106 98.59 98.59 119.99
Fractional coordinates of all 12 atoms:
Sm  0.167  0.833  0.000
Sm  0.833  0.167  0.000
Er  0.500  0.500  0.000
In  0.000  0.000  0.500
In  0.332  0.668  0.500
In  0.668  0.332  0.500
Se  0.104  0.430  0.790
Se  0.245  0.245  0.212
Se  0.430  0.104  0.790
Se  0.570  0.896  0.210
Se  0.755  0.755  0.788
Se  0.896  0.570  0.210

## Properties
**Formation energy (no corrections)**: -1.29 eV per atom
**SG**: No. 12

---

The following is a DFT calculation (GGA-PBE) of crystalline Rb2Dy2HfS6 at its relaxed geometry.

Lattice parameters (Å, degrees): 6.784 6.784 8.205 98.21 98.21 119.61
Fractional coordinates of all 11 atoms:
Rb  0.170  0.830  0.000
Rb  0.830  0.170  0.000
Dy  0.333  0.667  0.500
Dy  0.667  0.333  0.500
Hf  0.000  0.000  0.500
S  0.063  0.378  0.685
S  0.250  0.250  0.316
S  0.378  0.063  0.685
S  0.622  0.937  0.315
S  0.750  0.750  0.684
S  0.937  0.622  0.315

## Properties
**Formation energy (no corrections)**: -1.81 eV per atom
**SG**: No. 12

---

The following is a DFT calculation (GGA-PBE) of crystalline U2CrIr9 at its relaxed geometry.

Lattice parameters (Å, degrees): 3.989 3.989 11.921 90.00 90.00 90.00
Fractional coordinates of all 12 atoms:
U  0.000  0.000  0.173
U  0.000  0.000  0.827
Cr  0.000  0.000  0.500
Ir  0.000  0.500  0.000
Ir  0.000  0.500  0.343
Ir  0.000  0.500  0.657
Ir  0.500  0.000  0.000
Ir  0.500  0.000  0.343
Ir  0.500  0.000  0.657
Ir  0.500  0.500  0.171
Ir  0.500  0.500  0.500
Ir  0.500  0.500  0.829

## Properties
**DFT formation energy**: -445 meV per atom
**SG**: No. 123

---

The following is a DFT calculation (GGA-PBE) of crystalline CsRb3Sn at its relaxed geometry.

Lattice parameters (Å, degrees): 7.951 7.951 7.951 90.00 90.00 90.00
Fractional coordinates of all 5 atoms:
Cs  0.000  0.000  0.000
Rb  0.000  0.000  0.500
Rb  0.000  0.500  0.000
Rb  0.500  0.000  0.000
Sn  0.500  0.500  0.500

## Properties
**Excess energy over the best structure of this formula in the dataset**: 0.675 eV per atom
**DFT formation energy**: 629 meV per atom
**SG**: No. 221

---

The following is a DFT calculation (GGA-PBE) of crystalline AcErLuPb at its relaxed geometry.

Lattice parameters (Å, degrees): 5.569 5.569 5.569 60.00 60.00 60.00
Fractional coordinates of all 4 atoms:
Ac  0.000  0.000  0.000
Er  0.250  0.250  0.250
Lu  0.750  0.750  0.750
Pb  0.500  0.500  0.500

## Properties
**DFT formation energy**: 8 meV per atom
**SG**: No. 216

---

The following is a DFT calculation (GGA-PBE) of crystalline Sb2PAu at its relaxed geometry.

Lattice parameters (Å, degrees): 5.406 5.406 5.406 138.69 112.34 82.46
Fractional coordinates of all 4 atoms:
Sb  0.238  0.238  0.000
Sb  0.762  0.762  0.000
P  0.000  0.500  0.500
Au  0.500  0.000  0.500

## Properties
**Formation energy (no corrections)**: 0.35 eV per atom
**SG**: No. 71

---

The following is a DFT calculation (GGA-PBE) of crystalline Ce2Ge2Au at its relaxed geometry.

Lattice parameters (Å, degrees): 5.903 5.903 10.599 115.12 115.12 44.32
Fractional coordinates of all 10 atoms:
Ce  0.006  0.006  0.327
Ce  0.185  0.185  0.106
Ce  0.815  0.815  0.894
Ce  0.994  0.994  0.673
Ge  0.363  0.363  0.435
Ge  0.466  0.466  0.109
Ge  0.534  0.534  0.891
Ge  0.637  0.637  0.565
Au  0.283  0.283  0.657
Au  0.717  0.717  0.343

## Properties
**DFT formation energy**: -718 meV per atom
**SG**: No. 12

---

The following is a DFT calculation (GGA-PBE) of crystalline Ac7Pm2Sm2 at its relaxed geometry.

Lattice parameters (Å, degrees): 10.025 10.025 10.025 145.24 65.50 126.38
Fractional coordinates of all 11 atoms:
Ac  0.000  0.000  0.000
Ac  0.168  0.326  0.842
Ac  0.181  0.539  0.642
Ac  0.484  0.326  0.158
Ac  0.495  0.128  0.367
Ac  0.761  0.128  0.633
Ac  0.897  0.539  0.358
Pm  0.030  0.830  0.200
Pm  0.630  0.830  0.800
Sm  0.329  0.829  0.500
Sm  0.602  0.602  0.000

## Properties
**DFT formation energy**: 120 meV per atom
**SG**: No. 44

---

The following is a DFT calculation (GGA-PBE) of crystalline NiTe12Pd5 at its relaxed geometry.

Lattice parameters (Å, degrees): 7.002 7.002 11.059 90.33 90.33 119.54
Fractional coordinates of all 18 atoms:
Ni  0.000  0.000  0.000
Te  0.007  0.327  0.120
Te  0.163  0.496  0.626
Te  0.169  0.169  0.374
Te  0.311  0.311  0.879
Te  0.327  0.007  0.120
Te  0.496  0.163  0.626
Te  0.504  0.837  0.374
Te  0.673  0.993  0.880
Te  0.689  0.689  0.121
Te  0.831  0.831  0.626
Te  0.837  0.504  0.374
Te  0.993  0.673  0.880
Pd  0.167  0.833  0.500
Pd  0.334  0.666  0.000
Pd  0.500  0.500  0.500
Pd  0.666  0.334  0.000
Pd  0.833  0.167  0.500

## Properties
**Formation energy (no corrections)**: -0.28 eV per atom
**SG**: No. 12

---

The following is a DFT calculation (GGA-PBE) of crystalline Ho5Er12In2 at its relaxed geometry.

Lattice parameters (Å, degrees): 8.915 8.915 8.226 91.19 91.19 62.06
Fractional coordinates of all 19 atoms:
Ho  0.000  0.000  0.000
Ho  0.235  0.235  0.080
Ho  0.309  0.309  0.494
Ho  0.691  0.691  0.506
Ho  0.765  0.765  0.920
Er  0.036  0.665  0.262
Er  0.085  0.085  0.386
Er  0.178  0.571  0.839
Er  0.335  0.964  0.738
Er  0.429  0.822  0.161
Er  0.447  0.447  0.175
Er  0.553  0.553  0.825
Er  0.571  0.178  0.839
Er  0.665  0.036  0.262
Er  0.822  0.429  0.161
Er  0.915  0.915  0.614
Er  0.964  0.335  0.738
In  0.319  0.681  0.500
In  0.681  0.319  0.500

## Properties
**DFT formation energy**: -3 meV per atom
**SG**: No. 12

---

The following is a DFT calculation (GGA-PBE) of crystalline AlTcMoC2 at its relaxed geometry.

Lattice parameters (Å, degrees): 3.913 3.913 4.875 90.00 90.00 90.00
Fractional coordinates of all 5 atoms:
Al  0.000  0.000  0.000
Tc  0.000  0.000  0.500
Mo  0.500  0.500  0.000
C  0.000  0.500  0.500
C  0.500  0.000  0.500

## Properties
**DFT formation energy**: 1791 meV per atom
**SG**: No. 123

---

The following is a DFT calculation (GGA-PBE) of crystalline Ba8Tl2Cu at its relaxed geometry.

Lattice parameters (Å, degrees): 11.105 11.105 8.221 106.02 106.02 31.42
Fractional coordinates of all 11 atoms:
Ba  0.030  0.030  0.298
Ba  0.209  0.209  0.803
Ba  0.342  0.342  0.540
Ba  0.406  0.406  0.074
Ba  0.594  0.594  0.926
Ba  0.658  0.658  0.460
Ba  0.791  0.791  0.197
Ba  0.970  0.970  0.702
Tl  0.185  0.185  0.212
Tl  0.815  0.815  0.788
Cu  0.500  0.500  0.500

## Properties
**DFT formation energy**: -142 meV per atom
**SG**: No. 12

---

no.,electronic total energy (eV/atom),density (g/cm³)
1,-4.89,6.0
2,-5.98,4.6
3,-9.77,19.8
4,-0.92,1.7
5,-4.22,10.6
6,-3.88,8.4
7,-5.59,9.0
8,-4.22,7.9
9,-4.14,7.5
10,-4.38,8.8
11,-6.89,5.4
12,-2.34,5.2